Record 1
DFT (PBE-GGA) results for a relaxed structure of K2In.

Results
Energy of formation from the pure elements (eV per atom): 0.043
Total magnetization (μB/cell): 0.0
V (Å³ per atom): 41.7

POSCAR file:
```
K2In
1.0
1.792 -10.697 0.000
1.792 10.697 0.000
0.000 0.000 6.522
K In
4 2
Cartesian
1.792 -9.720 4.891 K
1.792 4.659 4.891 K
1.792 -4.659 1.630 K
1.792 9.720 1.630 K
1.792 -2.591 4.891 In
1.792 2.591 1.630 In
```


Record 2
DFT (PBE-GGA) results for a relaxed structure of K15In.

Results
Energy of formation from the pure elements (eV per atom): 0.027
Total magnetization (μB/cell): 0.0
V (Å³ per atom): 65.8

POSCAR file:
```
K15In
1.0
-6.067 6.132 2.881
-2.771 -8.261 -2.608
1.601 -4.883 13.767
K In
15 1
Cartesian
0.800 -2.442 6.884 K
-1.458 -4.111 -1.289 K
-6.587 -0.457 8.447 K
-5.748 -5.144 -1.156 K
-2.284 0.579 8.314 K
-4.403 -1.134 0.110 K
-3.633 -3.443 7.044 K
-5.185 2.756 5.139 K
-4.310 0.089 12.660 K
-6.646 -1.599 3.764 K
-5.771 -4.267 11.285 K
-1.986 -0.477 3.620 K
-1.111 -3.144 11.141 K
-3.453 -4.734 2.805 K
-2.685 -7.075 9.406 K
0.000 0.000 0.000 In
```


Record 3
DFT (PBE-GGA) results for a relaxed structure of KIn3.

Results
Energy of formation from the pure elements (eV per atom): 0.014
Total magnetization (μB/cell): 0.0
V (Å³ per atom): 30.6

POSCAR file:
```
KIn3
1.0
6.789 0.008 0.006
2.935 6.122 -0.006
-3.751 -4.829 2.952
In K
3 1
Cartesian
9.595 6.031 0.008 In
5.009 3.140 0.008 In
4.470 -1.702 1.985 In
2.501 1.422 1.937 K
```


Record 4
DFT (PBE-GGA) results for a relaxed structure of KIn.

Results
Energy of formation from the pure elements (eV per atom): 0.098
Total magnetization (μB/cell): 0.0
V (Å³ per atom): 37.2

POSCAR file:
```
KIn
1.0
-2.234 4.268 4.291
-3.393 0.871 5.417
0.126 1.991 6.135
In K
1 1
Cartesian
0.000 0.000 0.000 In
-2.751 3.565 7.921 K
```


Record 5
DFT (PBE-GGA) results for a relaxed structure of K2In3.

Results
Energy of formation from the pure elements (eV per atom): 0.142
Total magnetization (μB/cell): 0.0
V (Å³ per atom): 42.3

POSCAR file:
```
K2In3
1.0
2.235 -3.871 0.000
2.235 3.871 0.000
0.000 0.000 12.223
K In
2 3
Cartesian
2.235 -1.290 2.760 K
2.235 1.290 9.464 K
0.000 0.000 0.000 In
2.235 -1.290 6.754 In
2.235 1.290 5.469 In
```


Record 6
DFT (PBE-GGA) results for a relaxed structure of KIn3.

Results
Energy of formation from the pure elements (eV per atom): -0.048
Total magnetization (μB/cell): 0.0
V (Å³ per atom): 33.8

POSCAR file:
```
KIn3
1.0
4.998 -0.210 0.099
3.784 3.272 0.099
1.001 0.349 7.915
In K
3 1
Cartesian
4.891 1.705 4.056 In
7.348 2.562 5.576 In
2.434 0.849 2.536 In
0.000 0.000 0.000 K
```


Record 7
DFT (PBE-GGA) results for a relaxed structure of KIn.

Results
Energy of formation from the pure elements (eV per atom): 0.064
Total magnetization (μB/cell): 0.0
V (Å³ per atom): 36.2

POSCAR file:
```
KIn
1.0
3.537 1.929 4.265
-3.783 3.680 -2.562
-6.719 -2.304 6.614
K In
4 4
Cartesian
-1.680 -0.576 1.653 K
-5.039 -1.728 4.960 K
-6.383 1.368 4.674 K
-0.583 1.937 3.643 K
-1.901 2.905 0.262 In
-2.820 1.169 5.845 In
-5.065 0.400 8.054 In
-4.145 2.135 2.472 In
```


Record 8
DFT (PBE-GGA) results for a relaxed structure of KIn3.

Results
Energy of formation from the pure elements (eV per atom): 0.025
Total magnetization (μB/cell): 0.0
V (Å³ per atom): 30.3

POSCAR file:
```
KIn3
1.0
-0.201 0.497 -11.365
-0.587 -2.992 -10.961
-3.412 -0.873 -10.819
In K
3 1
Cartesian
-3.179 -2.549 -25.085 In
-2.100 -1.684 -16.572 In
-1.021 -0.819 -8.060 In
0.000 0.000 0.000 K
```


Record 9
DFT (PBE-GGA) results for a relaxed structure of KIn3.

Results
Energy of formation from the pure elements (eV per atom): 0.000
Total magnetization (μB/cell): 0.0
V (Å³ per atom): 32.2

POSCAR file:
```
KIn3
1.0
-3.055 1.608 -1.629
1.128 -3.483 -1.081
-6.002 -4.162 7.148
In K
3 1
Cartesian
-0.211 -0.146 0.252 In
-2.790 -1.934 3.323 In
-3.161 -1.130 0.341 In
-6.162 -3.211 3.915 K
```


Record 10
DFT (PBE-GGA) results for a relaxed structure of KIn.

Results
Energy of formation from the pure elements (eV per atom): 0.108
Total magnetization (μB/cell): 0.0
V (Å³ per atom): 36.9

POSCAR file:
```
KIn
1.0
3.729 0.000 0.000
-1.865 3.230 0.000
0.000 0.000 6.133
In K
1 1
Cartesian
0.000 0.000 0.000 In
0.000 2.153 3.067 K
```


Record 11
DFT (PBE-GGA) results for a relaxed structure of K5In.

Results
Energy of formation from the pure elements (eV per atom): 0.171
Total magnetization (μB/cell): 0.2
V (Å³ per atom): 58.8

POSCAR file:
```
K5In
1.0
0.000 5.608 5.608
5.608 0.000 5.608
5.608 5.608 0.000
K In
5 1
Cartesian
2.804 2.804 2.804 K
7.026 7.026 7.026 K
4.191 4.191 7.026 K
7.026 4.191 4.191 K
4.191 7.026 4.191 K
0.000 0.000 0.000 In
```


Record 12
DFT (PBE-GGA) results for a relaxed structure of K2In.

Results
Energy of formation from the pure elements (eV per atom): 0.053
Total magnetization (μB/cell): 0.0
V (Å³ per atom): 40.9

POSCAR file:
```
K2In
1.0
6.359 0.000 0.000
-3.179 5.507 0.000
0.000 0.000 3.505
In K
1 2
Cartesian
0.000 0.000 0.000 In
0.000 3.671 1.366 K
3.179 1.836 2.139 K
```